Entry 1:
{"formula": "LiBi2HOs", "functional": "PBE", "state": "relaxed", "spacegroup": "No. 123", "e_tot_ev_per_atom": -4.461, "crystal_system": "tetragonal", "lattice_angstrom": [[5.445, 0.000, 0.000], [0.000, 5.445, 0.000], [0.000, 0.000, 3.454]], "species": ["Li", "Bi", "Bi", "H", "Os"], "frac_coords": [[0.000, 0.000, 0.000], [0.000, 0.500, 0.500], [0.500, 0.000, 0.500], [0.500, 0.500, 0.000], [0.500, 0.500, 0.500]]}

***

Entry 2:
{"formula": "NdHo2Rh", "functional": "PBE", "state": "relaxed", "spacegroup": "No. 63", "crystal_system": "orthorhombic", "e_above_lowest_polymorph_kj_per_mol_atoms": 2.7, "lattice_angstrom": [[1.897, -6.096, 0.000], [1.897, 6.096, 0.000], [0.000, 0.000, 9.441]], "species": ["Nd", "Nd", "Ho", "Ho", "Ho", "Ho", "Rh", "Rh"], "frac_coords": [[0.073, 0.927, 0.750], [0.927, 0.073, 0.250], [0.359, 0.641, 0.568], [0.359, 0.641, 0.932], [0.641, 0.359, 0.068], [0.641, 0.359, 0.432], [0.241, 0.759, 0.250], [0.759, 0.241, 0.750]]}

***

Entry 3:
{"formula": "Sr2CeSnPd6", "functional": "PBE", "state": "relaxed", "spacegroup": "No. 225", "e_tot_ev_per_atom": -4.634, "crystal_system": "cubic", "lattice_angstrom": [[0.000, 5.105, 5.105], [5.105, 0.000, 5.105], [5.105, 5.105, 0.000]], "species": ["Sr", "Sr", "Ce", "Sn", "Pd", "Pd", "Pd", "Pd", "Pd", "Pd"], "frac_coords": [[0.250, 0.250, 0.250], [0.750, 0.750, 0.750], [0.000, 0.000, 0.000], [0.500, 0.500, 0.500], [0.248, 0.248, 0.752], [0.248, 0.752, 0.248], [0.248, 0.752, 0.752], [0.752, 0.248, 0.248], [0.752, 0.248, 0.752], [0.752, 0.752, 0.248]]}

***

Entry 4:
{"formula": "In2AuCl", "functional": "PBE", "state": "relaxed", "spacegroup": "No. 122", "crystal_system": "tetragonal", "e_above_lowest_polymorph_kj_per_mol_atoms": 12.4, "raw_formation_energy_ev_per_atom": -0.309, "lattice_angstrom": [[-3.334, 3.334, 6.489], [3.334, -3.334, 6.489], [3.334, 3.334, -6.489]], "species": ["In", "In", "In", "In", "Au", "Au", "Cl", "Cl"], "frac_coords": [[0.092, 0.625, 0.967], [0.375, 0.342, 0.467], [0.658, 0.125, 0.033], [0.875, 0.908, 0.533], [0.000, 0.000, 0.000], [0.750, 0.250, 0.500], [0.250, 0.750, 0.500], [0.500, 0.500, 0.000]]}